No. 1
Sr3AcP3: relaxed, GGA-PBE.

Computed properties:
- calculated formation energy (eV/atom) = -1.189
- calculated total energy (eV per cell) = -134.82
- magnetic moment (Bohr magnetons per cell) = 0.00

Structure (CIF):
```
data_Sr3AcP3
_symmetry_space_group_name_H-M 'P 21 3'
_symmetry_Int_Tables_number 198
_symmetry_space_group_name_Hall 'P 2ac 2ab 3'
_cell_length_a 9.346
_cell_length_b 9.346
_cell_length_c 9.346
_cell_angle_alpha 90.00
_cell_angle_beta 90.00
_cell_angle_gamma 90.00
loop_
_atom_site_label
_atom_site_type_symbol
_atom_site_fract_x
_atom_site_fract_y
_atom_site_fract_z
Sr1 Sr 0.060 0.440 0.560
Sr2 Sr 0.183 0.183 0.183
Sr3 Sr 0.187 0.813 0.313
Ac1 Ac 0.064 0.564 0.936
P1 P 0.000 0.254 0.871
```

No. 2
Pm2PrSm6In: relaxed, GGA-PBE.

Computed properties:
- calculated formation energy (eV/atom) = 0.006
- calculated total energy (eV per cell) = -181.10
- DOS at the Fermi energy (states/eV/f.u.) = 14.140
- magnetic moment (Bohr magnetons per cell) = 0.00

Structure (CIF):
```
data_Pm2PrSm6In
_symmetry_space_group_name_H-M 'C 1 2/c 1'
_symmetry_Int_Tables_number 15
_cell_length_a 11.226
_cell_length_b 12.897
_cell_length_c 9.599
_cell_angle_alpha 90.00
_cell_angle_beta 104.98
_cell_angle_gamma 90.00
loop_
_symmetry_equiv_pos_as_xyz
'x,y,z'
'-x,-y,-z'
'-x,y,-z+1/2'
'x,-y,z+1/2'
'x+1/2,y+1/2,z'
'-x+1/2,-y+1/2,-z'
'-x+1/2,y+1/2,-z+1/2'
'x+1/2,-y+1/2,z+1/2'
loop_
_atom_site_label
_atom_site_type_symbol
_atom_site_fract_x
_atom_site_fract_y
_atom_site_fract_z
Pm1 Pm 0.218 0.033 0.114
Pr1 Pr 0.000 0.095 0.750
Sm1 Sm 0.060 0.380 0.595
Sm2 Sm 0.108 0.172 0.408
Sm3 Sm 0.224 0.300 0.158
In1 In 0.000 0.407 0.250
```

No. 3
PrHo2Er3Tm6: relaxed, GGA-PBE.

Computed properties:
- calculated formation energy (eV/atom) = 0.025
- calculated total energy (eV per cell) = -108.31
- DOS at the Fermi energy (states/eV/f.u.) = 16.435
- magnetic moment (Bohr magnetons per cell) = 0.00

Structure (CIF):
```
data_PrHo2Er3Tm6
_symmetry_space_group_name_H-M 'C 1 2/m 1'
_symmetry_Int_Tables_number 12
_cell_length_a 6.094
_cell_length_b 10.541
_cell_length_c 11.647
_cell_angle_alpha 90.00
_cell_angle_beta 100.02
_cell_angle_gamma 90.00
loop_
_symmetry_equiv_pos_as_xyz
'x,y,z'
'-x,-y,-z'
'-x,y,-z'
'x,-y,z'
'x+1/2,y+1/2,z'
'-x+1/2,-y+1/2,-z'
'-x+1/2,y+1/2,-z'
'x+1/2,-y+1/2,z'
loop_
_atom_site_label
_atom_site_type_symbol
_atom_site_fract_x
_atom_site_fract_y
_atom_site_fract_z
Pr1 Pr 0.000 0.000 0.000
Ho1 Ho 0.000 0.333 0.000
Er1 Er 0.000 0.167 0.500
Er2 Er 0.000 0.500 0.500
Tm1 Tm 0.248 0.333 0.748
Tm2 Tm 0.249 0.000 0.748
```

No. 4
PmAlS3: relaxed, GGA-PBE.

Computed properties:
- calculated total energy (eV per cell) = -341.81
- DOS at the Fermi energy (states/eV/f.u.) = 0.000
- magnetic moment (Bohr magnetons per cell) = 0.00
- ΔE_f (raw) (eV/atom) = -1.522

Structure (CIF):
```
data_PmAlS3
_symmetry_space_group_name_H-M 'C m c m'
_symmetry_Int_Tables_number 63
_symmetry_space_group_name_Hall '-C 2c 2'
_cell_length_a 14.666
_cell_length_b 8.431
_cell_length_c 12.156
_cell_angle_alpha 90.00
_cell_angle_beta 90.00
_cell_angle_gamma 90.00
loop_
_atom_site_label
_atom_site_type_symbol
_atom_site_fract_x
_atom_site_fract_y
_atom_site_fract_z
Pm1 Pm 0.000 0.000 0.000
Pm2 Pm 0.163 0.500 0.000
Al1 Al 0.000 0.408 0.250
Al2 Al 0.130 0.203 0.750
S1 S 0.000 0.054 0.750
S2 S 0.000 0.317 0.076
S3 S 0.138 0.473 0.750
S4 S 0.177 0.157 0.580
```

No. 5
TmPaPt4: relaxed, GGA-PBE.

Computed properties:
- calculated formation energy (eV/atom) = -0.996
- calculated total energy (eV per cell) = -176.43
- DOS at the Fermi energy (states/eV/f.u.) = 1.584
- magnetic moment (Bohr magnetons per cell) = 0.00

Structure (CIF):
```
data_TmPaPt4
_symmetry_space_group_name_H-M 'F -4 3 m'
_symmetry_Int_Tables_number 216
_symmetry_space_group_name_Hall 'F -4 2 3'
_cell_length_a 7.669
_cell_length_b 7.669
_cell_length_c 7.669
_cell_angle_alpha 90.00
_cell_angle_beta 90.00
_cell_angle_gamma 90.00
loop_
_atom_site_label
_atom_site_type_symbol
_atom_site_fract_x
_atom_site_fract_y
_atom_site_fract_z
Tm1 Tm 0.000 0.000 0.000
Pa1 Pa 0.250 0.250 0.250
Pt1 Pt 0.125 0.125 0.625
```

No. 6
SrZn7Au12: relaxed, GGA-PBE.

Computed properties:
- calculated formation energy (eV/atom) = -0.107
- calculated total energy (eV per cell) = -104.12
- DOS at the Fermi energy (states/eV/f.u.) = 6.255
- magnetic moment (Bohr magnetons per cell) = 0.00

Structure (CIF):
```
data_SrZn7Au12
_symmetry_space_group_name_H-M 'I m -3'
_symmetry_Int_Tables_number 204
_symmetry_space_group_name_Hall '-I 2 2 3'
_cell_length_a 9.531
_cell_length_b 9.531
_cell_length_c 9.531
_cell_angle_alpha 90.00
_cell_angle_beta 90.00
_cell_angle_gamma 90.00
loop_
_atom_site_label
_atom_site_type_symbol
_atom_site_fract_x
_atom_site_fract_y
_atom_site_fract_z
Sr1 Sr 0.000 0.000 0.000
Zn1 Zn 0.000 0.000 0.500
Zn2 Zn 0.250 0.250 0.250
Au1 Au 0.000 0.238 0.350
```

No. 7
PmY3Zr2N6: relaxed, GGA-PBE.

Computed properties:
- calculated total energy (eV per cell) = -221.97
- DOS at the Fermi energy (states/eV/f.u.) = 2.801
- magnetic moment (Bohr magnetons per cell) = 0.00
- ΔE_f (raw) (eV/atom) = -1.650

Structure (CIF):
```
data_PmY3Zr2N6
_symmetry_space_group_name_H-M 'C 1 2/m 1'
_symmetry_Int_Tables_number 12
_cell_length_a 14.884
_cell_length_b 3.412
_cell_length_c 6.862
_cell_angle_alpha 90.00
_cell_angle_beta 103.23
_cell_angle_gamma 90.00
loop_
_symmetry_equiv_pos_as_xyz
'x,y,z'
'-x,-y,-z'
'-x,y,-z'
'x,-y,z'
'x+1/2,y+1/2,z'
'-x+1/2,-y+1/2,-z'
'-x+1/2,y+1/2,-z'
'x+1/2,-y+1/2,z'
loop_
_atom_site_label
_atom_site_type_symbol
_atom_site_fract_x
_atom_site_fract_y
_atom_site_fract_z
Pm1 Pm 0.000 0.000 0.000
Y1 Y 0.000 0.000 0.500
Y2 Y 0.167 0.500 0.832
Zr1 Zr 0.168 0.500 0.336
N1 N 0.009 0.500 0.263
N2 N 0.171 0.000 0.102
N3 N 0.172 0.000 0.574
```

No. 8
Nd3Dy3ScTe8: relaxed, GGA-PBE.

Computed properties:
- calculated total energy (eV per cell) = -240.51
- DOS at the Fermi energy (states/eV/f.u.) = 7.427
- magnetic moment (Bohr magnetons per cell) = 0.00
- ΔE_f (raw) (eV/atom) = -1.373

Structure (CIF):
```
data_Nd3Dy3ScTe8
_symmetry_space_group_name_H-M 'R -3 m'
_symmetry_Int_Tables_number 166
_symmetry_space_group_name_Hall '-R 3 2"'
_cell_length_a 8.7668
_cell_length_b 8.7668
_cell_length_c 21.7126
_cell_angle_alpha 90.00
_cell_angle_beta 90.00
_cell_angle_gamma 120.00
loop_
_atom_site_label
_atom_site_type_symbol
_atom_site_fract_x
_atom_site_fract_y
_atom_site_fract_z
Nd1 Nd 0.0000 0.5000 0.0000
Dy1 Dy 0.0000 0.5000 0.5000
Sc1 Sc 0.0000 0.0000 0.5000
Te1 Te 0.0000 0.0000 0.2462
Te2 Te 0.0018 0.5009 0.2458
```

No. 9
AcPm6Sm12: relaxed, GGA-PBE.

Computed properties:
- calculated formation energy (eV/atom) = 0.375
- calculated total energy (eV per cell) = -246.37
- DOS at the Fermi energy (states/eV/f.u.) = 29.578
- magnetic moment (Bohr magnetons per cell) = 0.00

Structure (CIF):
```
data_AcPm6Sm12
_symmetry_space_group_name_H-M 'R -3 m'
_symmetry_Int_Tables_number 166
_symmetry_space_group_name_Hall '-R 3 2"'
_cell_length_a 13.9400
_cell_length_b 13.9400
_cell_length_c 12.2617
_cell_angle_alpha 90.00
_cell_angle_beta 90.00
_cell_angle_gamma 120.00
loop_
_atom_site_label
_atom_site_type_symbol
_atom_site_fract_x
_atom_site_fract_y
_atom_site_fract_z
Ac1 Ac 0.0000 0.0000 0.0000
Pm1 Pm 0.9998 0.4999 0.2682
Sm1 Sm 0.0000 0.3871 0.5000
Sm2 Sm 0.0922 0.1845 0.3483
```

No. 10
BaTl2Cl: relaxed, GGA-PBE.

Computed properties:
- calculated total energy (eV per cell) = -47.74
- DOS at the Fermi energy (states/eV/f.u.) = 2.608
- magnetic moment (Bohr magnetons per cell) = 0.00
- ΔE_f (raw) (eV/atom) = -0.858

Structure (CIF):
```
data_BaTl2Cl
_symmetry_space_group_name_H-M 'F m m m'
_symmetry_Int_Tables_number 69
_symmetry_space_group_name_Hall '-F 2 2'
_cell_length_a 6.262
_cell_length_b 6.518
_cell_length_c 13.945
_cell_angle_alpha 90.00
_cell_angle_beta 90.00
_cell_angle_gamma 90.00
loop_
_atom_site_label
_atom_site_type_symbol
_atom_site_fract_x
_atom_site_fract_y
_atom_site_fract_z
Ba1 Ba 0.000 0.000 0.000
Tl1 Tl 0.000 0.250 0.250
Cl1 Cl 0.000 0.000 0.500
```

No. 11
CrSb2Os: relaxed, GGA-PBE.

Computed properties:
- calculated total energy (eV per cell) = -54.99
- DOS at the Fermi energy (states/eV/f.u.) = 2.162
- magnetic moment (Bohr magnetons per cell) = 4.87
- ΔE_f (raw) (eV/atom) = 0.400

Structure (CIF):
```
data_CrSb2Os
_symmetry_space_group_name_H-M 'C 1 m 1'
_symmetry_Int_Tables_number 8
_cell_length_a 9.405
_cell_length_b 3.407
_cell_length_c 4.710
_cell_angle_alpha 90.00
_cell_angle_beta 102.04
_cell_angle_gamma 90.00
loop_
_symmetry_equiv_pos_as_xyz
'x,y,z'
'x,-y,z'
'x+1/2,y+1/2,z'
'x+1/2,-y+1/2,z'
loop_
_atom_site_label
_atom_site_type_symbol
_atom_site_fract_x
_atom_site_fract_y
_atom_site_fract_z
Cr1 Cr 0.000 0.000 0.000
Sb1 Sb 0.228 0.500 0.078
Sb2 Sb 0.481 0.000 0.479
Os1 Os 0.207 0.000 0.596
```

No. 12
NdGdHg2: relaxed, GGA-PBE.

Computed properties:
- calculated formation energy (eV/atom) = -0.493
- calculated total energy (eV per cell) = -85.70
- DOS at the Fermi energy (states/eV/f.u.) = 4.985
- magnetic moment (Bohr magnetons per cell) = 31.50

Structure (CIF):
```
data_NdGdHg2
_symmetry_space_group_name_H-M 'F m -3 m'
_symmetry_Int_Tables_number 225
_symmetry_space_group_name_Hall '-F 4 2 3'
_cell_length_a 7.591
_cell_length_b 7.591
_cell_length_c 7.591
_cell_angle_alpha 90.00
_cell_angle_beta 90.00
_cell_angle_gamma 90.00
loop_
_atom_site_label
_atom_site_type_symbol
_atom_site_fract_x
_atom_site_fract_y
_atom_site_fract_z
Nd1 Nd 0.000 0.000 0.000
Gd1 Gd 0.000 0.000 0.500
Hg1 Hg 0.250 0.250 0.250
```